# Re2Os

A relaxed structure of Re2Os (PBE, Alexandria).

Cell: 4.8356 4.8356 4.8356 Å, 140.60 140.60 56.94°
Last column: nearest neighbours and their distance in Å.
Fractional coordinates of all 3 atoms:
Re: 0.1688 0.1688 0.0000  5 Re 2.69-2.87, 5 Os 2.72-2.82
Re: 0.8312 0.8312 0.0000  5 Re 2.69-2.87, 5 Os 2.72-2.82
Os: 0.5000 0.5000 0.0000  10 Re 2.72-2.82

The value obtained for the formation energy is 0.462 eV per atom. As for the distance to the lowest polymorph of the same formula: 537 meV per atom. As for the density: 20.68 Mg/m³. The density of states at the Fermi level comes out at 1.007 states/eV per atom. As for the volume: 45 Å³ per cell.